[1]
The following is a PBE-GGA calculation of a relaxed LaAs4 crystal, from Alexandria via LeMat-Bulk.

D(E_F)	1.4110	states/eV/atom
VASP energy	-0.27369	Ry/atom
theoretical density	4.1	g cm⁻³
energy relative to the elements	0.98	eV/atom

The structure in POSCAR format:
```
LaAs4
1.0
5.640 0.000 0.000
0.000 5.640 0.000
0.000 0.000 5.640
La As
1 4
Direct
0.000 0.000 0.000 La
0.000 0.000 0.500 As
0.000 0.500 0.000 As
0.500 0.000 0.000 As
0.500 0.500 0.500 As
```

[2]
The following is a PBE-GGA calculation of a relaxed CuPt2Pb crystal, from Alexandria via LeMat-Bulk.

D(E_F)	0.3541	states/eV/atom
VASP energy	-0.36920	Ry/atom
theoretical density	16.1	g cm⁻³
energy relative to the elements	-0.05	eV/atom

The structure in POSCAR format:
```
CuPt2Pb
1.0
-2.047 2.047 4.056
2.047 -2.047 4.056
2.047 2.047 -4.056
Cu Pt Pb
1 2 1
Direct
0.000 0.000 0.000 Cu
0.250 0.750 0.500 Pt
0.750 0.250 0.500 Pt
0.500 0.500 0.000 Pb
```